A plane-wave DFT calculation with GGA-PBE was carried out for a relaxed structure of LiY2Th.

The space group is R3m (No. 160, hexagonal axes) and the conventional cell measures 3.5123, 3.5123 and 33.9803 Å, with angles of 90.00, 90.00 and 120.00 degrees. The inequivalent atoms are Li at (0.0000, 0.0000, 0.0000), Y at (0.0000, 0.0000, 0.4141), Y at (0.0000, 0.0000, 0.5866) and Th at (0.0000, 0.0000, 0.8338).

For the density of states at the Fermi level, the calculation gives 1.688 states/eV/atom. The formation energy comes out at 0.5 eV per formula unit. For the raw total energy, the calculation gives -21.76 eV per formula unit. Its distance to the lowest polymorph of the same formula is 7.3 kJ per mole of atoms.